[1]
# NaEr2Te3, relaxed, DFT GGA-PBE
# Relative energy among the computed polymorphs ... 90.9 meV per atom
# DFT total energy ... -4.481 eV per atom
# Volume ... 383.46 Å³ per cell
# Magnetic moment ... 0.0 μB per cell
data_NaEr2Te3
_space_group_name_H-M_alt 'P m c 21'
_space_group_IT_number 26
_cell_length_a 4.1979
_cell_length_b 12.2961
_cell_length_c 7.4288
_cell_angle_alpha 90.00
_cell_angle_beta 90.00
_cell_angle_gamma 90.00
loop_
_space_group_symop_operation_xyz
'x,y,z'
'-x,-y,z+1/2'
'-x,y,z'
'x,-y,z+1/2'
loop_
_atom_site_label
_atom_site_type_symbol
_atom_site_fract_x
_atom_site_fract_y
_atom_site_fract_z
Na1 Na 0.0000 0.1203 0.0000
Er1 Er 0.0000 0.2128 0.5059
Er2 Er 0.5000 0.4948 0.5062
Te1 Te 0.0000 0.3951 0.7650
Te2 Te 0.5000 0.0732 0.6736
Te3 Te 0.5000 0.2974 0.2405

[2]
# InGaRu, relaxed, DFT GGA-PBE
# Relative energy among the computed polymorphs ... 72.2 meV per atom
# DFT total energy ... -5.055 eV per atom
# ΔH_f (0 K) ... -0.96 kcal/mol of atoms
# Volume ... 52.48 Å³ per cell
# Magnetic moment ... 0.0 μB per cell
data_InGaRu
_space_group_name_H-M_alt 'P -6 m 2'
_space_group_IT_number 187
_space_group_name_Hall 'P -6 2'
_cell_length_a 4.2895
_cell_length_b 4.2895
_cell_length_c 3.2936
_cell_angle_alpha 90.00
_cell_angle_beta 90.00
_cell_angle_gamma 120.00
loop_
_atom_site_label
_atom_site_type_symbol
_atom_site_fract_x
_atom_site_fract_y
_atom_site_fract_z
In1 In 0.0000 0.0000 0.0000
Ga1 Ga 0.6667 0.3333 0.5000
Ru1 Ru 0.3333 0.6667 0.5000

[3]
# CuSbI2N, relaxed, DFT GGA-PBE
# Relative energy among the computed polymorphs ... 0.0 meV per atom
# DFT total energy ... -3.165 eV per atom
# Volume ... 122.07 Å³ per cell
# Magnetic moment ... 1.9 μB per cell
data_CuSbI2N
_space_group_name_H-M_alt 'P 4/m m m'
_space_group_IT_number 123
_space_group_name_Hall '-P 4 2'
_cell_length_a 5.7416
_cell_length_b 5.7416
_cell_length_c 3.7030
_cell_angle_alpha 90.00
_cell_angle_beta 90.00
_cell_angle_gamma 90.00
loop_
_atom_site_label
_atom_site_type_symbol
_atom_site_fract_x
_atom_site_fract_y
_atom_site_fract_z
Cu1 Cu 0.0000 0.0000 0.0000
Sb1 Sb 0.5000 0.5000 0.5000
I1 I 0.0000 0.5000 0.0000
N1 N 0.0000 0.0000 0.5000